Computed, not measured: an optimized crystal structure of AgHg3Br at the PBE-GGA level of DFT.

## Properties
Distance to the lowest polymorph of the same formula: 648 meV/atom
VASP energy: -2.80 eV per formula unit

abc: 5.9502 5.9502 5.9502
angles: 90.00 90.00 90.00
Fractional positions:
Br: 0.0000 0.0000 0.0000
Hg: 0.0000 0.5000 0.0000
Hg: 0.0000 0.0000 0.5000
Hg: 0.5000 0.0000 0.0000
Ag: 0.5000 0.5000 0.5000